## Tb6YHo (PBE-GGA)

Data for an optimized crystal structure of Tb6YHo.

Output
DFT formation energy	19.9	meV/atom
calculated total energy	-4.833	eV per atom
space-group type	P4/mmm (123)
volume	254.94	Å³/cell

abc: 5.033 5.033 10.065
angles: 90.00 90.00 90.00
Fractional coordinates of all 8 atoms:
Tb: 0.000 0.500 0.751
Tb: 0.500 0.500 0.000
Tb: 0.000 0.500 0.249
Tb: 0.500 0.500 0.500
Tb: 0.500 0.000 0.751
Tb: 0.500 0.000 0.249
Ho: 0.000 0.000 0.000
Y: 0.000 0.000 0.500

=====

## AlPtW2 (PBE-GGA)

Data for an optimized crystal structure of AlPtW2.

Output
DFT formation energy	-102.1	meV/atom
calculated total energy	-9.025	eV per atom
space-group type	Cm (8)
volume	62.73	Å³/cell

abc: 4.807 4.807 5.017
angles: 83.86 83.86 32.99
Fractional coordinates of all 4 atoms:
Pt: 0.252 0.252 0.272
Al: 0.505 0.505 0.487
W: 0.993 0.993 0.984
W: 0.750 0.750 0.757